This record from Alexandria via LeMat-Bulk describes a relaxed CaLaMg3 crystal. The functional is PBE.

a b c (Å): 5.5704 5.5704 5.5704
angles (deg): 90.00 90.00 90.00
Atoms (fractional coordinates):
Ca1 0.0000 0.0000 0.0000
Mg1 0.0000 0.5000 0.0000
Mg2 0.0000 0.0000 0.5000
Mg3 0.5000 0.0000 0.0000
La1 0.5000 0.5000 0.5000

Energy relative to the lowest polymorph listed for this composition in meV/atom: 0

This record from Alexandria via LeMat-Bulk describes a relaxed RbInPb crystal. The functional is PBE.

a b c (Å): 4.9974 5.1139 9.1868
angles (deg): 90.00 90.00 90.00
Atoms (fractional coordinates):
Pb1 0.5000 0.5000 0.0604
Pb2 0.0000 0.5000 0.2779
Rb1 0.5000 0.0000 0.4061
Rb2 0.0000 0.5000 0.7261
In1 0.5000 0.0000 0.8492
In2 0.0000 0.0000 0.0647

This record from Alexandria via LeMat-Bulk describes a relaxed OsRhPb2 crystal. The functional is PBE.

a b c (Å): 3.0866 3.0866 9.2698
angles (deg): 90.00 90.00 90.00
Atoms (fractional coordinates):
Os1 0.5000 0.5000 0.7038
Rh1 0.0000 0.0000 0.5473
Pb1 0.0000 0.0000 0.9355
Pb2 0.5000 0.5000 0.3133

Energy relative to the lowest polymorph listed for this composition in meV/atom: 0

This record from Alexandria via LeMat-Bulk describes a relaxed Ho2TmBi crystal. The functional is PBE.

a b c (Å): 3.5951 3.5951 10.9898
angles (deg): 80.59 80.59 60.00
Atoms (fractional coordinates):
Tm1 0.5000 0.5000 0.5000
Bi1 0.0000 0.0000 0.0000
Ho1 0.2526 0.2526 0.2422
Ho2 0.7474 0.7474 0.7578

Energy relative to the lowest polymorph listed for this composition in meV/atom: 191

Number 1: DFT formation energy 0.604 eV per atom. Number 2: DFT formation energy -0.150 eV per atom. Number 3: DFT formation energy 0.400 eV per atom. Number 4: DFT formation energy -0.191 eV per atom.